1.
The following is a DFT calculation (PBE-GGA) of crystalline Cu3Hg at its relaxed geometry.

Computed properties:
final energy	-11.94	eV per cell
energy of formation	163	meV per atom
density	11.25	g/cm³
space-group type	Fm-3m, No. 225
DOS at the Fermi energy	0.492	states/eV per atom

a = 4.3388 Å, b = 4.3388 Å, c = 4.3388 Å
α = 60.00°, β = 60.00°, γ = 60.00°
With the nearest neighbours (Å) after each atom.
Sites, in units of the cell vectors:
1 Cu 0.0000 0.0000 0.0000  4 Hg 2.66, 4 Cu 2.66
2 Cu 0.5000 0.5000 0.5000  4 Cu 2.66, 4 Hg 2.66
3 Cu 0.2500 0.2500 0.2500  8 Cu 2.66
4 Hg 0.7500 0.7500 0.7500  8 Cu 2.66



2.
The following is a DFT calculation (PBE-GGA) of crystalline CuHg3 at its relaxed geometry.

Computed properties:
final energy	-4.53	eV per cell
energy of formation	119	meV per atom
density	12.09	g/cm³
space-group type	Immm, No. 71
DOS at the Fermi energy	0.309	states/eV per atom

a = 3.0101 Å, b = 4.5505 Å, c = 7.2052 Å
α = 108.41°, β = 102.06°, γ = 90.00°
With the nearest neighbours (Å) after each atom.
Sites, in units of the cell vectors:
1 Hg 0.3170 0.7335 0.6339  2 Cu 2.87, 2 Hg 3.01
2 Hg 0.5000 0.4168 0.0000  4 Cu 2.73, 2 Hg 3.01
3 Hg 0.6830 0.0996 0.3661  2 Cu 2.87, 2 Hg 3.01
4 Cu 0.0000 0.9168 0.0000  8 Hg 2.73-2.87, 2 Cu 3.01



3.
The following is a DFT calculation (PBE-GGA) of crystalline CuHg at its relaxed geometry.

Computed properties:
final energy	-15.19	eV per cell
energy of formation	300	meV per atom
density	11.56	g/cm³
space-group type	P4_2/mnm, No. 136
DOS at the Fermi energy	0.293	states/eV per atom

a = 5.2933 Å, b = 5.2933 Å, c = 5.4161 Å
α = 90.00°, β = 90.00°, γ = 90.00°
With the nearest neighbours (Å) after each atom.
Sites, in units of the cell vectors:
1 Cu 0.3225 0.6775 0.0000  6 Hg 2.65-2.82, 1 Cu 2.66
2 Cu 0.8225 0.8225 0.5000  6 Hg 2.65-2.82, 1 Cu 2.66
3 Cu 0.1775 0.1775 0.5000  6 Hg 2.65-2.82, 1 Cu 2.66
4 Cu 0.6775 0.3225 0.0000  6 Hg 2.65-2.82, 1 Cu 2.66
5 Hg 0.1938 0.1938 0.0000  6 Cu 2.65-2.82, 1 Hg 2.90
6 Hg 0.6938 0.3062 0.5000  6 Cu 2.65-2.82, 1 Hg 2.90
7 Hg 0.3062 0.6938 0.5000  6 Cu 2.65-2.82, 1 Hg 2.90
8 Hg 0.8062 0.8062 0.0000  6 Cu 2.65-2.82, 1 Hg 2.90